The following is a DFT calculation (PBE-GGA) of an optimized crystal structure of CaVTe2.

Results
VASP energy, eV per atom: -4.569
Energy above the most stable polymorph in this dataset, eV/atom: 0.3614
Formation energy from raw total energies, eV per atom: -0.2183

Unit cell a=8.976 b=8.976 c=8.976 alpha=30.35 beta=30.35 gamma=30.35
Fractional coordinates of all 4 atoms:
Ca (0.500, 0.500, 0.500)
Te (0.899, 0.899, 0.899)
V (0.000, 0.000, 0.000)
Te (0.101, 0.101, 0.101)


The following is a DFT calculation (PBE-GGA) of an optimized crystal structure of TbPr3Ge4.

Results
VASP energy, eV per atom: -5.355
DFT formation energy, kJ/mol of formula units: -521

Unit cell a=4.227 b=6.485 c=9.021 alpha=111.07 beta=103.55 gamma=90.00
Fractional coordinates of all 8 atoms:
Ge (0.629, 0.821, 0.259)
Ge (0.629, 0.438, 0.259)
Pr (0.805, 0.805, 0.610)
Ge (0.371, 0.562, 0.741)
Pr (0.000, 0.500, 0.000)
Tb (0.500, 0.000, 0.000)
Ge (0.371, 0.179, 0.741)
Pr (0.195, 0.195, 0.390)


The following is a DFT calculation (PBE-GGA) of an optimized crystal structure of Ta3OsBr.

Results
VASP energy, eV per atom: -8.385
Energy above the most stable polymorph in this dataset, eV/atom: 0.0000
Formation energy from raw total energies, eV per atom: 1.3069

Unit cell a=4.922 b=4.922 c=4.922 alpha=90.00 beta=90.00 gamma=90.00
Fractional coordinates of all 5 atoms:
Ta (0.000, 0.000, 0.500)
Br (0.500, 0.500, 0.500)
Ta (0.000, 0.500, 0.000)
Os (0.000, 0.000, 0.000)
Ta (0.500, 0.000, 0.000)


The following is a DFT calculation (PBE-GGA) of an optimized crystal structure of Mg6Ga12Tc.

Results
VASP energy, eV per atom: -3.076
DFT formation energy, kJ/mol of formula units: -211

Unit cell a=7.110 b=7.110 c=7.110 alpha=96.50 beta=96.50 gamma=96.50
Fractional coordinates of all 19 atoms:
Mg (0.743, 0.121, 0.284)
Ga (0.202, 0.538, 0.466)
Ga (0.538, 0.466, 0.202)
Ga (0.633, 0.870, 0.940)
Mg (0.121, 0.284, 0.743)
Ga (0.060, 0.367, 0.130)
Ga (0.798, 0.462, 0.534)
Mg (0.284, 0.743, 0.121)
Mg (0.257, 0.879, 0.716)
Mg (0.716, 0.257, 0.879)
Ga (0.534, 0.798, 0.462)
Ga (0.940, 0.633, 0.870)
Ga (0.870, 0.940, 0.633)
Ga (0.462, 0.534, 0.798)
Ga (0.367, 0.130, 0.060)
Ga (0.130, 0.060, 0.367)
Tc (0.000, 0.000, 0.000)
Ga (0.466, 0.202, 0.538)
Mg (0.879, 0.716, 0.257)